(1)
Material: AcPr2Al2Si2
Method: DFT, GGA-PBE
State: relaxed

extended XYZ file:
```
7
Lattice="4.222 0.000 0.000 2.111 3.657 0.000 2.111 1.219 12.188" Properties=species:S:1:pos:R:3 pbc="T T T"
Ac 0.000 0.000 0.000
Pr 2.111 1.219 7.678
Pr 6.333 3.657 4.509
Al 6.333 3.657 9.671
Al 2.111 1.219 2.517
Si 4.222 2.438 2.273
Si 4.222 2.438 9.914
```

Computed properties:
- DFT total energy (eV per atom) = -5.04


(2)
Material: CoAgRu
Method: DFT, GGA-PBE
State: relaxed

extended XYZ file:
```
3
Lattice="4.057 0.000 0.000 2.029 3.514 0.000 2.029 1.171 3.313" Properties=species:S:1:pos:R:3 pbc="T T T"
Ag 4.057 2.342 1.656
Co 6.086 3.514 2.484
Ru 0.000 0.000 0.000
```

Computed properties:
- energy of formation from the pure elements (meV per atom) = 826
- polymorph energy (0 for the lowest one) (eV/f.u.) = 1.409


(3)
Material: Be2VPd
Method: DFT, GGA-PBE
State: relaxed

extended XYZ file:
```
4
Lattice="2.725 0.000 0.000 0.000 2.725 0.000 0.000 0.000 6.013" Properties=species:S:1:pos:R:3 pbc="T T T"
Be 0.000 0.000 4.588
Be 0.000 0.000 1.425
Pd 1.363 1.363 0.000
V 1.363 1.363 3.007
```

Computed properties:
- energy of formation from the pure elements (meV per atom) = -261
- polymorph energy (0 for the lowest one) (eV/f.u.) = 0.000


(4)
Material: Ba2CuGeO
Method: DFT, GGA-PBE
State: relaxed

extended XYZ file:
```
5
Lattice="-0.473 -4.606 2.977 0.327 -2.393 -3.651 5.469 -0.172 0.602" Properties=species:S:1:pos:R:3 pbc="T T T"
O 0.000 0.000 0.000
Ge 0.163 -1.197 -1.826
Ba 2.735 -0.086 0.301
Ba -0.237 -2.303 1.488
Cu 2.661 -3.586 -0.036
```

Computed properties:
- DFT total energy (eV per atom) = -4.27


(5)
Material: Rb3TlSb2
Method: DFT, GGA-PBE
State: relaxed

extended XYZ file:
```
12
Lattice="2.438 -7.774 -3.695 6.994 0.482 3.601 -7.649 -0.228 6.262" Properties=species:S:1:pos:R:3 pbc="T T T"
Rb 2.927 -2.589 3.287
Rb -1.144 -4.932 2.881
Rb 0.836 0.147 6.981
Rb 0.947 -7.668 -0.813
Rb 6.465 -3.526 0.853
Rb 2.968 -3.767 -0.947
Tl 1.749 0.120 0.900
Tl 5.246 0.361 2.701
Sb -0.093 -2.254 0.483
Sb 1.876 -5.266 5.685
Sb -3.114 -0.746 6.147
Sb 4.897 -6.774 0.021
```

Computed properties:
- DFT total energy (eV per atom) = -2.58


(6)
Material: PrSc5Tl3
Method: DFT, GGA-PBE
State: relaxed

extended XYZ file:
```
18
Lattice="-2.015 5.944 1.337 -8.123 -2.061 -3.078 1.965 -1.273 8.616" Properties=species:S:1:pos:R:3 pbc="T T T"
Pr 0.000 0.000 0.000
Pr -1.007 2.972 0.669
Sc -4.761 -1.798 0.820
Sc -2.405 1.436 5.387
Sc -1.398 -1.535 4.718
Sc -5.768 1.174 1.489
Sc -5.631 2.227 4.709
Sc -8.984 1.976 0.776
Sc -4.199 3.776 -0.015
Sc -2.542 0.383 2.167
Sc 0.810 0.634 6.099
Sc -5.939 0.107 -1.725
Tl -3.635 3.308 2.913
Tl -0.224 3.624 6.648
Tl -6.833 3.108 -1.013
Tl -4.539 -0.698 3.963
Tl -7.949 -1.014 0.227
Tl -3.305 0.775 -0.727
```

Computed properties:
- energy of formation from the pure elements (meV per atom) = -248


(7)
Material: Hf3Be11
Method: DFT, GGA-PBE
State: relaxed

extended XYZ file:
```
14
Lattice="-3.003 -0.407 2.134 -4.713 -3.159 -4.017 -0.527 -6.832 1.173" Properties=species:S:1:pos:R:3 pbc="T T T"
Hf 0.000 0.000 0.000
Hf -4.589 -7.199 -1.394
Hf -3.654 -3.199 0.684
Be -5.797 -9.218 -0.262
Be -5.012 -7.527 1.166
Be -6.987 -8.174 -1.737
Be -3.332 -5.891 0.623
Be -1.394 -4.484 0.401
Be -2.620 -4.995 -1.422
Be -6.849 -5.914 -1.112
Be -4.911 -4.507 -1.334
Be -1.256 -2.224 1.026
Be -3.231 -2.871 -1.877
Be -2.446 -1.180 -0.449
```

Computed properties:
- energy of formation from the pure elements (meV per atom) = -181


(8)
Material: ScH3Os
Method: DFT, GGA-PBE
State: relaxed

extended XYZ file:
```
5
Lattice="-0.354 -3.254 -1.368 3.433 -0.637 0.627 -0.820 -1.261 3.213" Properties=species:S:1:pos:R:3 pbc="T T T"
Sc 1.129 -2.576 1.236
H 1.717 -0.318 0.313
H -0.410 -0.631 1.606
H -0.177 -1.627 -0.684
Os 0.000 0.000 0.000
```

Computed properties:
- DFT total energy (eV per atom) = -5.74


(9)
Material: Mn3CuRh4
Method: DFT, GGA-PBE
State: relaxed

extended XYZ file:
```
8
Lattice="-1.746 2.355 0.938 -3.410 -1.858 -1.679 -1.433 -3.974 7.310" Properties=species:S:1:pos:R:3 pbc="T T T"
Mn -1.221 0.211 2.247
Mn -3.294 -1.739 3.285
Mn -1.957 -1.830 6.001
Rh -0.716 -1.987 3.655
Rh -2.775 -3.898 4.620
Rh 0.000 0.000 0.000
Rh -2.068 -1.935 1.011
Cu -2.578 0.248 -0.370
```

Computed properties:
- energy of formation from the pure elements (meV per atom) = -111


(10)
Material: LaIrRu2
Method: DFT, GGA-PBE
State: relaxed

extended XYZ file:
```
4
Lattice="-1.856 2.152 0.058 -2.544 -2.241 1.736 2.395 1.904 5.966" Properties=species:S:1:pos:R:3 pbc="T T T"
Ir 1.069 0.850 2.662
La -0.409 1.379 5.358
Ru 0.149 0.118 0.370
Ru -1.615 0.420 2.353
```

Computed properties:
- energy of formation from the pure elements (meV per atom) = 140
- polymorph energy (0 for the lowest one) (eV/f.u.) = 0.000


(11)
Material: ThSn2Pd7
Method: DFT, GGA-PBE
State: relaxed

extended XYZ file:
```
10
Lattice="-2.602 1.608 -3.338 -6.243 -1.411 4.188 3.645 6.713 0.392" Properties=species:S:1:pos:R:3 pbc="T T T"
Th 0.000 0.000 0.000
Sn -4.548 1.855 1.369
Sn -0.652 5.055 -0.126
Pd -4.215 0.255 3.410
Pd 1.617 5.047 1.171
Pd -0.692 2.651 -1.254
Pd -4.508 4.259 2.496
Pd -2.851 0.878 -0.425
Pd -2.349 6.033 1.668
Pd -2.600 3.455 0.621
```

Computed properties:
- energy of formation from the pure elements (meV per atom) = -320
- polymorph energy (0 for the lowest one) (eV/f.u.) = 2.994


(12)
Material: LiMg3Ag3
Method: DFT, GGA-PBE
State: relaxed

extended XYZ file:
```
14
Lattice="-7.005 -1.898 -3.011 -0.421 -4.240 -6.602 -2.497 -6.171 -0.554" Properties=species:S:1:pos:R:3 pbc="T T T"
Li -2.480 -2.882 -2.667
Li -7.443 -9.428 -7.499
Mg -1.808 -4.635 -4.935
Mg -7.350 -3.908 -3.848
Mg -5.711 -6.862 -8.432
Mg -4.212 -5.447 -1.734
Mg -2.573 -8.401 -6.318
Mg -8.116 -7.674 -5.231
Ag -5.374 -8.116 -5.886
Ag -6.267 -6.515 -3.401
Ag -3.260 -6.907 -3.987
Ag -6.663 -5.402 -6.179
Ag -3.657 -5.795 -6.765
Ag -4.549 -4.193 -4.280
```

Computed properties:
- energy of formation from the pure elements (meV per atom) = -157
- polymorph energy (0 for the lowest one) (eV/f.u.) = 0.000


(13)
Material: RbHgAsAu2
Method: DFT, GGA-PBE
State: relaxed

extended XYZ file:
```
5
Lattice="-0.514 2.403 4.519 -5.076 -0.822 -0.140 0.717 -4.887 2.680" Properties=species:S:1:pos:R:3 pbc="T T T"
As 0.000 0.000 0.000
Au -2.538 -0.411 -0.070
Au -0.257 1.201 2.260
Hg 0.358 -2.443 1.340
Rb -2.436 -1.653 3.529
```

Computed properties:
- energy of formation from the pure elements (meV per atom) = -104


| no. | D(E_F) (states/eV/atom) |
| --- | --- |
| 1 | 0.712 |
| 2 | 1.055 |
| 3 | 0.373 |
| 4 | 0.680 |
| 5 | 0.070 |
| 6 | 1.103 |
| 7 | 0.216 |
| 8 | 0.389 |
| 9 | 1.147 |
| 10 | 1.306 |
| 11 | 0.520 |
| 12 | 0.369 |
| 13 | 0.129 |